Computed, not measured: a relaxed structure of La3Tb5Dy4 at the GGA-PBE level of DFT. Values from VASP.

Geometry as Quantum ESPRESSO input:
```
&SYSTEM
  ibrav = 0, nat = 12, ntyp = 3
/
ATOMIC_SPECIES
Tb 158.93 Tb.upf
La 138.91 La.upf
Dy 162.50 Dy.upf
ATOMIC_POSITIONS angstrom
Tb -2.0087 -0.0023 2.8723
Tb -4.8927 6.8772 7.9066
La -3.4201 6.1411 4.0931
Dy -2.2014 4.5483 7.8924
Dy -6.0673 8.2231 4.3408
Tb -4.9883 3.0753 9.6008
Dy -4.7001 2.3266 2.8865
La -3.4814 0.7339 6.6859
La -0.8211 2.8939 4.3181
Dy -0.8341 -1.3482 6.4382
Tb -1.9131 3.7997 1.1782
Tb -3.4507 3.4375 5.3895
CELL_PARAMETERS angstrom
-5.2593 1.0871 2.1427
-0.4892 -3.8895 8.5741
-1.1529 9.6773 0.0621
```

## Properties
Magnetization (μB per formula unit): 0.38
Formation energy from the elements (eV per atom): 0.266
Polymorph energy (0 for the lowest one) (eV/atom): 0.242


Computed, not measured: a relaxed structure of LaTb5Dy5 at the GGA-PBE level of DFT. Values from VASP.

Geometry as Quantum ESPRESSO input:
```
&SYSTEM
  ibrav = 0, nat = 11, ntyp = 3
/
ATOMIC_SPECIES
La 138.91 La.upf
Dy 162.50 Dy.upf
Tb 158.93 Tb.upf
ATOMIC_POSITIONS angstrom
La 0.0000 3.5264 0.0000
Dy 0.0000 0.0000 8.5137
Tb 3.0539 1.7632 9.7344
Dy 4.5738 0.8857 5.7901
Dy 1.5340 0.8857 5.7901
Dy 0.0000 0.0000 3.0666
Tb 3.0539 1.7632 1.8459
Tb 0.0000 0.0000 0.0000
Tb 0.0000 3.5264 3.8188
Tb 0.0000 3.5264 7.7614
Dy 3.0539 3.5182 5.7901
CELL_PARAMETERS angstrom
6.1078 0.0000 0.0000
-3.0539 5.2895 0.0000
0.0000 0.0000 11.5803
```

## Properties
Magnetization (μB per formula unit): 0.00
Formation energy from the elements (eV per atom): 0.309


Computed, not measured: a relaxed structure of LaTbDy5 at the GGA-PBE level of DFT. Values from VASP.

Geometry as Quantum ESPRESSO input:
```
&SYSTEM
  ibrav = 0, nat = 7, ntyp = 3
/
ATOMIC_SPECIES
Dy 162.50 Dy.upf
Tb 158.93 Tb.upf
La 138.91 La.upf
ATOMIC_POSITIONS angstrom
Dy 5.7872 6.3198 1.6723
Dy 5.7872 6.7973 5.6732
Tb 5.7872 4.5476 3.7956
Dy 5.7872 2.2980 1.9180
Dy 5.7872 2.7755 5.9189
Dy 2.8936 4.5476 3.7956
La 0.0000 0.0000 0.0000
CELL_PARAMETERS angstrom
5.7872 0.0000 0.0000
2.8936 7.3147 0.4803
2.8936 1.7805 7.1109
```

## Properties
Magnetization (μB per formula unit): 0.00
Formation energy from the elements (eV per atom): 1.097
Polymorph energy (0 for the lowest one) (eV/atom): 0.901